A plane-wave DFT calculation with PBE was carried out for an optimized crystal structure of Ti4Nb3Mo4.

abc: 2.8542 4.4769 14.6685
angles: 81.23 82.75 89.98
Element x y z (fractional)
Ti1 0.5026 0.9088 0.1826
Ti2 0.6783 0.7278 0.5447
Ti3 0.3217 0.2722 0.4553
Ti4 0.4973 0.0912 0.8174
Nb1 0.8398 0.3629 0.2746
Nb2 0.1602 0.6371 0.7254
Nb3 0.0000 0.0000 0.0000
Mo1 0.2645 0.4544 0.0913
Mo2 0.7355 0.5456 0.9087
Mo3 0.9306 0.1819 0.6353
Mo4 0.0694 0.8182 0.3647

Results
The spin magnetization comes out at 0.0 μB/f.u. The calculation puts the formation energy at -83 meV/atom. The space-group type is P-1 (2).

***

A plane-wave DFT calculation with PBE was carried out for an optimized crystal structure of TiNbMo.

abc: 3.2257 3.2257 5.3644
angles: 72.50 72.50 90.00
Element x y z (fractional)
Ti1 0.7109 0.2801 0.0545
Nb1 0.3960 0.9651 0.6844
Mo1 0.0523 0.6214 0.3718

Results
The spin magnetization comes out at 0.0 μB/f.u. The offset from the most stable computed form is 12 meV per atom. The calculation puts the formation energy at -78 meV/atom. The space-group type is I4mm (107).

***

A plane-wave DFT calculation with PBE was carried out for an optimized crystal structure of TiNb4Mo4.

abc: 5.6570 5.6570 10.5215
angles: 90.00 90.00 90.00
Element x y z (fractional)
Ti1 0.0000 0.0000 0.0000
Ti2 0.5000 0.5000 0.5000
Nb1 0.5000 0.7470 0.7647
Nb2 0.5000 0.2530 0.7647
Nb3 0.7470 0.5000 0.2353
Nb4 0.2530 0.5000 0.2353
Nb5 0.2470 0.0000 0.2647
Nb6 0.7530 0.0000 0.2647
Nb7 0.0000 0.2470 0.7353
Nb8 0.0000 0.7530 0.7353
Mo1 0.2241 0.5000 0.9390
Mo2 0.7759 0.5000 0.9390
Mo3 0.5000 0.7759 0.0610
Mo4 0.5000 0.2241 0.0610
Mo5 0.0000 0.7241 0.4390
Mo6 0.0000 0.2759 0.4390
Mo7 0.2759 0.0000 0.5610
Mo8 0.7241 0.0000 0.5610

Results
The spin magnetization comes out at 0.0 μB/f.u. The calculation puts the formation energy at 500 meV/atom. The space-group type is P4_2/nmc (137).

***

A plane-wave DFT calculation with PBE was carried out for an optimized crystal structure of TiNb12Mo6.

abc: 6.9955 6.9955 6.9955
angles: 88.58 88.58 88.58
Element x y z (fractional)
Ti1 0.0000 0.0000 0.0000
Nb1 0.8142 0.5179 0.4174
Nb2 0.4174 0.8142 0.5179
Nb3 0.5179 0.4174 0.8142
Nb4 0.1858 0.4821 0.5826
Nb5 0.5826 0.1858 0.4821
Nb6 0.4821 0.5826 0.1858
Nb7 0.0618 0.1419 0.3812
Nb8 0.8581 0.6188 0.9382
Nb9 0.6188 0.9382 0.8581
Nb10 0.9382 0.8581 0.6188
Nb11 0.1419 0.3812 0.0618
Nb12 0.3812 0.0618 0.1419
Mo1 0.7409 0.8819 0.2590
Mo2 0.7410 0.2591 0.1181
Mo3 0.1181 0.7410 0.2591
Mo4 0.2591 0.1181 0.7410
Mo5 0.2590 0.7409 0.8819
Mo6 0.8819 0.2590 0.7409

Results
The spin magnetization comes out at 0.0 μB/f.u. The calculation puts the formation energy at 161 meV/atom. The space-group type is R-3 (148).

***

A plane-wave DFT calculation with PBE was carried out for an optimized crystal structure of TiNbMo14.

abc: 5.4919 5.4919 8.9752
angles: 90.00 90.00 109.58
Element x y z (fractional)
Ti1 0.1250 0.8750 0.5000
Nb1 0.6250 0.3750 0.5000
Mo1 0.1250 0.8750 0.0000
Mo2 0.6250 0.3750 0.0000
Mo3 0.1250 0.3750 0.5000
Mo4 0.1250 0.3750 0.0000
Mo5 0.6250 0.8750 0.5000
Mo6 0.6250 0.8750 0.0000
Mo7 0.3743 0.1243 0.7538
Mo8 0.3743 0.1243 0.2462
Mo9 0.8757 0.6257 0.7538
Mo10 0.8757 0.6257 0.2462
Mo11 0.3737 0.6263 0.7501
Mo12 0.3737 0.6263 0.2499
Mo13 0.8763 0.1237 0.7501
Mo14 0.8763 0.1237 0.2499

Results
The spin magnetization comes out at 0.0 μB/f.u. The calculation puts the formation energy at -85 meV/atom. The space-group type is Cmmm (65).

***

A plane-wave DFT calculation with PBE was carried out for an optimized crystal structure of TiNb2Mo2.

abc: 5.0200 5.2876 7.2761
angles: 111.31 90.00 90.00
Element x y z (fractional)
Ti1 0.0000 0.0000 0.0000
Ti2 0.5000 0.0000 0.0000
Nb1 0.7500 0.4325 0.8650
Nb2 0.7500 0.8144 0.6289
Nb3 0.2500 0.5675 0.1349
Nb4 0.2500 0.1856 0.3711
Mo1 0.7500 0.3998 0.2933
Mo2 0.2500 0.1066 0.7067
Mo3 0.2500 0.6002 0.7067
Mo4 0.7500 0.8934 0.2933

Results
The spin magnetization comes out at 0.0 μB/f.u. The offset from the most stable computed form is 166 meV per atom. The calculation puts the formation energy at 343 meV/atom. The space-group type is Cmcm (63).

***

A plane-wave DFT calculation with PBE was carried out for an optimized crystal structure of Ti2Nb4Mo.

abc: 2.6995 4.8845 9.9472
angles: 104.21 90.00 90.00
Element x y z (fractional)
Ti1 0.5000 0.2094 0.4189
Ti2 0.5000 0.7906 0.5811
Nb1 0.5000 0.3592 0.7185
Nb2 0.0000 0.0747 0.1494
Nb3 0.5000 0.6408 0.2815
Nb4 0.0000 0.9253 0.8506
Mo1 0.0000 0.5000 0.0000

Results
The spin magnetization comes out at 0.0 μB/f.u. The offset from the most stable computed form is 243 meV per atom. The calculation puts the formation energy at 302 meV/atom. The space-group type is Cmmm (65).

***

A plane-wave DFT calculation with PBE was carried out for an optimized crystal structure of Ti3Nb4Mo.

abc: 4.5378 3.0916 12.0548
angles: 77.41 112.05 90.03
Element x y z (fractional)
Nb1 0.8052 0.6386 0.8053
Nb2 0.1948 0.3614 0.1947
Nb3 0.1353 0.5914 0.6355
Nb4 0.8647 0.4086 0.3645
Mo1 0.0000 0.0000 0.0000
Ti1 0.5973 0.1849 0.5975
Ti2 0.4027 0.8151 0.4025
Ti3 0.5000 0.5000 0.0000

Results
The spin magnetization comes out at 0.0 μB/f.u. The calculation puts the formation energy at 470 meV/atom. The space-group type is P-1 (2).

***

A plane-wave DFT calculation with PBE was carried out for an optimized crystal structure of Ti3NbMo.

abc: 4.6465 4.6465 4.6465
angles: 90.00 90.00 90.00
Element x y z (fractional)
Mo1 0.0000 0.0000 0.0000
Nb1 0.5000 0.5000 0.5000
Ti1 0.0000 0.5000 0.0000
Ti2 0.0000 0.0000 0.5000
Ti3 0.5000 0.0000 0.0000

Results
The spin magnetization comes out at 0.0 μB/f.u. The offset from the most stable computed form is 918 meV per atom. The calculation puts the formation energy at 869 meV/atom. The space-group type is Pm-3m (221).

***

A plane-wave DFT calculation with PBE was carried out for an optimized crystal structure of Ti2NbMo.

abc: 5.9862 5.9862 5.9862
angles: 54.71 152.36 133.78
Element x y z (fractional)
Ti1 0.0000 0.2584 0.2584
Ti2 0.0000 0.7416 0.7416
Nb1 0.0000 0.0000 0.0000
Mo1 0.0000 0.5000 0.5000

Results
The spin magnetization comes out at 0.0 μB/f.u. The offset from the most stable computed form is 540 meV per atom. The calculation puts the formation energy at 487 meV/atom. The space-group type is Immm (71).

***

A plane-wave DFT calculation with PBE was carried out for an optimized crystal structure of Ti5Nb2Mo4.

abc: 2.8683 6.9822 10.4936
angles: 109.43 97.86 90.00
Element x y z (fractional)
Ti1 0.1367 0.3270 0.2733
Ti2 0.8633 0.6730 0.7267
Ti3 0.1367 0.9463 0.2733
Ti4 0.5000 0.0000 0.0000
Ti5 0.8633 0.0537 0.7267
Nb1 0.7394 0.7394 0.4789
Nb2 0.2606 0.2606 0.5211
Mo1 0.6128 0.6128 0.2256
Mo2 0.0000 0.3256 0.0000
Mo3 0.3872 0.3872 0.7744
Mo4 0.0000 0.6744 0.0000

Results
The spin magnetization comes out at 0.0 μB/f.u. The offset from the most stable computed form is 414 meV per atom. The calculation puts the formation energy at 372 meV/atom. The space-group type is Immm (71).

***

A plane-wave DFT calculation with PBE was carried out for an optimized crystal structure of Ti2Nb2Mo3.

abc: 4.4709 5.3690 7.9782
angles: 41.93 73.73 65.39
Element x y z (fractional)
Ti1 0.0742 0.5715 0.2800
Ti2 0.9258 0.4285 0.7200
Nb1 0.2204 0.7195 0.8396
Nb2 0.7796 0.2805 0.1604
Mo1 0.5000 0.0000 0.0000
Mo2 0.3636 0.8508 0.4221
Mo3 0.6364 0.1492 0.5779

Results
The spin magnetization comes out at 0.0 μB/f.u. The offset from the most stable computed form is 0 meV per atom. The calculation puts the formation energy at -123 meV/atom. The space-group type is C2/m (12).

***

In the order shown, the computed density of states at the Fermi level values come out to 14.35, 4.44, 22.01, 21.11, 8.47, 9.44, 9.07, 10.53, 6.97, 4.65, 14.92, 8.22 states/eV/cell.